(1)
Computed, not measured: a relaxed U4S3O crystal at the PBE-GGA level of DFT.

For the uncorrected formation energy, the calculation gives -1.58 eV per atom.

It has space group R-3m (No. 166, hexagonal axes), with a = 3.6899 Å, b = 3.6899 Å, c = 38.2076 Å, α = 90.00°, β = 90.00° and γ = 120.00°. The asymmetric unit holds U at (0.0000, 0.0000, 0.1223), U at (0.0000, 0.0000, 0.3670), S at (0.0000, 0.0000, 0.2557), S at (0.0000, 0.0000, 0.5000) and O at (0.0000, 0.0000, 0.0000).

---

(2)
Computed, not measured: a relaxed U3S5O crystal at the PBE-GGA level of DFT.

For the uncorrected formation energy, the calculation gives -1.55 eV per atom.

It has space group C2/m (No. 12), with a = 11.535 Å, b = 8.987 Å, c = 8.758 Å, α = 90.00°, β = 107.63° and γ = 90.00°. The asymmetric unit holds U at (0.000, 0.000, 0.000), U at (0.000, 0.000, 0.500), U at (0.156, 0.500, 0.163), U at (0.218, 0.500, 0.607), S at (0.000, 0.298, 0.000), S at (0.018, 0.500, 0.341), S at (0.190, 0.185, 0.630), S at (0.239, 0.000, 0.067) and O at (0.073, 0.000, 0.293).